[1]
The following is a DFT calculation (PBE-GGA) of an optimized crystal structure of FeWAu2.

DFT formation energy in eV per atom: 0.464
M_tot in μB/f.u.: 1.66
DOS at the Fermi energy in states/eV/cell: 9.06

Structure (CIF):
```
data_FeWAu2
_chemical_formula_sum 'Fe2 W2 Au4'
_cell_length_a 3.988
_cell_length_b 4.000
_cell_length_c 7.985
_cell_angle_alpha 90.00
_cell_angle_beta 90.00
_cell_angle_gamma 90.00
_symmetry_space_group_name_H-M 'I m m m'
_symmetry_Int_Tables_number 71
_symmetry_space_group_name_Hall '-I 2 2'
loop_
_atom_site_label
_atom_site_type_symbol
_atom_site_fract_x
_atom_site_fract_y
_atom_site_fract_z
Fe1 Fe 0.000 0.000 0.000
W1 W 0.000 0.000 0.500
Au1 Au 0.000 0.500 0.250
```

[2]
The following is a DFT calculation (PBE-GGA) of an optimized crystal structure of PrAl4Cu2Ag.

DFT formation energy in eV per atom: -0.238
M_tot in μB/f.u.: 0.00
DOS at the Fermi energy in states/eV/cell: 8.02

Structure (CIF):
```
data_PrAl4Cu2Ag
_chemical_formula_sum 'Pr3 Al12 Cu6 Ag3'
_cell_length_a 4.2482
_cell_length_b 4.2482
_cell_length_c 27.8414
_cell_angle_alpha 90.00
_cell_angle_beta 90.00
_cell_angle_gamma 120.00
_symmetry_space_group_name_H-M 'R -3 m'
_symmetry_Int_Tables_number 166
_symmetry_space_group_name_Hall '-R 3 2"'
loop_
_atom_site_label
_atom_site_type_symbol
_atom_site_fract_x
_atom_site_fract_y
_atom_site_fract_z
Pr1 Pr 0.0000 0.0000 0.0000
Al1 Al 0.0000 0.0000 0.1217
Al2 Al 0.0000 0.0000 0.4040
Cu1 Cu 0.0000 0.0000 0.2399
Ag1 Ag 0.0000 0.0000 0.5000
```

[3]
The following is a DFT calculation (PBE-GGA) of an optimized crystal structure of Al2TlAuBr8.

M_tot in μB/f.u.: 0.00
Raw formation energy in meV/atom: -823

Structure (CIF):
```
data_Al2TlAuBr8
_chemical_formula_sum 'Al2 Tl1 Au1 Br8'
_cell_length_a 7.6017
_cell_length_b 7.6017
_cell_length_c 9.3169
_cell_angle_alpha 90.00
_cell_angle_beta 90.00
_cell_angle_gamma 120.00
_symmetry_space_group_name_H-M 'P -3 m 1'
_symmetry_Int_Tables_number 164
_symmetry_space_group_name_Hall '-P 3 2"'
loop_
_atom_site_label
_atom_site_type_symbol
_atom_site_fract_x
_atom_site_fract_y
_atom_site_fract_z
Al1 Al 0.3333 0.6667 0.2134
Tl1 Tl 0.0000 0.0000 0.0000
Au1 Au 0.0000 0.0000 0.5000
Br1 Br 0.1644 0.3288 0.2947
Br2 Br 0.3333 0.6667 0.9668
```